Rb3Ac2NpTe6 (PBE-GGA, relaxed); E_form (uncorrected) = -29.447 kcal/mol of atoms; D(E_F) = 4.92 states/eV/cell; space-group type = C2/m (12)
1.0
4.158 -7.205 0.000
4.158 7.205 0.000
-2.789 0.000 8.565
Rb Ac Np Te
3 2 1 6
Direct
0.000 0.000 0.000 Rb
0.331 0.669 0.000 Rb
0.669 0.331 0.000 Rb
0.167 0.833 0.500 Ac
0.833 0.167 0.500 Ac
0.500 0.500 0.500 Np
0.110 0.431 0.291 Te
0.250 0.250 0.709 Te
0.431 0.110 0.291 Te
0.569 0.890 0.709 Te
0.750 0.750 0.291 Te
0.890 0.569 0.709 Te